# PBE+U NbMoF2, optimized geometry
# - Theoretical density: 5.204 g/cm3
# - Energy above the lowest structure with this stoichiometry: 0.477 eV/atom
# - DOS(E_F): 0.196 states/eV/f.u.
data_NbMoF2
_cell_length_a 5.351
_cell_length_b 5.351
_cell_length_c 6.315
_cell_angle_alpha 64.93
_cell_angle_beta 64.93
_cell_angle_gamma 90.00
_symmetry_space_group_name_H-M 'P 1'
_symmetry_Int_Tables_number 1
_symmetry_space_group_name_Hall 'P 1'
loop_
_atom_site_label
_atom_site_fract_x
_atom_site_fract_y
_atom_site_fract_z
_atom_site_occupancy
F1 0.598 0.125 0.250 1
F2 0.152 0.625 0.250 1
F3 0.375 0.402 0.750 1
F4 0.875 0.848 0.750 1
Nb1 0.250 0.750 0.500 1
Nb2 0.500 0.500 0.000 1
Mo1 0.750 0.250 0.500 1
Mo2 0.000 0.000 0.000 1